This record from Alexandria describes crystalline FePBr2 at its relaxed geometry. The functional is PBE-GGA.

Summary:
distance to the lowest polymorph of the same formula = 92.7 meV/atom
total magnetic moment = 2.978 μB/f.u.
calculated total energy = -4.2602 eV/atom
formation energy without anion corrections = 0.044 eV per atom
D(E_F) = 3.5 states/eV per cell

```
data_FePBr2
_symmetry_space_group_name_H-M 'C 1 m 1'
_symmetry_Int_Tables_number 8
_symmetry_space_group_name_Hall 'C -2y'
_cell_length_a 10.0268
_cell_length_b 3.4301
_cell_length_c 7.1803
_cell_angle_alpha 90.00
_cell_angle_beta 104.31
_cell_angle_gamma 90.00
loop_
_atom_site_label
_atom_site_type_symbol
_atom_site_fract_x
_atom_site_fract_y
_atom_site_fract_z
_atom_site_occupancy
Fe1 Fe 0.0000 0.0000 0.0000 1
P1 P 0.1460 0.5000 0.1246 1
Br1 Br 0.0157 0.5000 0.3500 1
Br2 Br 0.3517 0.0000 0.7978 1
```

This record from Alexandria describes crystalline Pm2PrSnN at its relaxed geometry. The functional is PBE-GGA.

Summary:
total magnetic moment = 0.000 μB/f.u.
calculated total energy = -6.2929 eV/atom
formation energy without anion corrections = -0.971 eV per atom
D(E_F) = 1.9 states/eV per cell

```
data_Pm2PrSnN
_symmetry_space_group_name_H-M 'P 4/m m m'
_symmetry_Int_Tables_number 123
_symmetry_space_group_name_Hall '-P 4 2'
_cell_length_a 4.9682
_cell_length_b 4.9682
_cell_length_c 5.0569
_cell_angle_alpha 90.00
_cell_angle_beta 90.00
_cell_angle_gamma 90.00
loop_
_atom_site_label
_atom_site_type_symbol
_atom_site_fract_x
_atom_site_fract_y
_atom_site_fract_z
_atom_site_occupancy
Pm1 Pm 0.0000 0.5000 0.0000 1
Pr1 Pr 0.0000 0.0000 0.5000 1
Sn1 Sn 0.5000 0.5000 0.5000 1
N1 N 0.0000 0.0000 0.0000 1
```

This record from Alexandria describes crystalline YMg4Cu8 at its relaxed geometry. The functional is PBE-GGA.

Summary:
energy of formation from the pure elements = -0.071 eV per atom
distance to the lowest polymorph of the same formula = 0.0 meV/atom
total magnetic moment = 0.000 μB/f.u.
calculated total energy = -3.5795 eV/atom
D(E_F) = 10.3 states/eV per cell

```
data_YMg4Cu8
_symmetry_space_group_name_H-M 'I 4/m m m'
_symmetry_Int_Tables_number 139
_symmetry_space_group_name_Hall '-I 4 2'
_cell_length_a 9.5678
_cell_length_b 9.5678
_cell_length_c 4.5004
_cell_angle_alpha 90.00
_cell_angle_beta 90.00
_cell_angle_gamma 90.00
loop_
_atom_site_label
_atom_site_type_symbol
_atom_site_fract_x
_atom_site_fract_y
_atom_site_fract_z
_atom_site_occupancy
Y1 Y 0.0000 0.0000 0.0000 1
Mg1 Mg 0.0000 0.2395 0.5000 1
Cu1 Cu 0.0000 0.3742 0.0000 1
Cu2 Cu 0.2091 0.2091 0.0000 1
```

This record from Alexandria describes crystalline Mn3Cr at its relaxed geometry. The functional is PBE-GGA.

Summary:
energy of formation from the pure elements = 0.091 eV per atom
total magnetic moment = 2.151 μB/f.u.
calculated total energy = -9.1915 eV/atom
D(E_F) = 5.5 states/eV per cell

```
data_Mn3Cr
_symmetry_space_group_name_H-M 'P 1 2/m 1'
_symmetry_Int_Tables_number 10
_symmetry_space_group_name_Hall '-P 2y'
_cell_length_a 2.4375
_cell_length_b 3.9289
_cell_length_c 4.7366
_cell_angle_alpha 90.00
_cell_angle_beta 101.55
_cell_angle_gamma 90.00
loop_
_atom_site_label
_atom_site_type_symbol
_atom_site_fract_x
_atom_site_fract_y
_atom_site_fract_z
_atom_site_occupancy
Mn1 Mn 0.0000 0.0000 0.0000 1
Mn2 Mn 0.3054 0.5000 0.7500 1
Cr1 Cr 0.5000 0.0000 0.5000 1
```

> D(E_F) of number 4 (Mn3Cr)?

5.5 states/eV per cell

Please write out number 3 again, unchanged.
This record from Alexandria describes crystalline YMg4Cu8 at its relaxed geometry. The functional is PBE-GGA.

Summary:
energy of formation from the pure elements = -0.071 eV per atom
distance to the lowest polymorph of the same formula = 0.0 meV/atom
total magnetic moment = 0.000 μB/f.u.
calculated total energy = -3.5795 eV/atom
D(E_F) = 10.3 states/eV per cell

```
data_YMg4Cu8
_symmetry_space_group_name_H-M 'I 4/m m m'
_symmetry_Int_Tables_number 139
_symmetry_space_group_name_Hall '-I 4 2'
_cell_length_a 9.5678
_cell_length_b 9.5678
_cell_length_c 4.5004
_cell_angle_alpha 90.00
_cell_angle_beta 90.00
_cell_angle_gamma 90.00
loop_
_atom_site_label
_atom_site_type_symbol
_atom_site_fract_x
_atom_site_fract_y
_atom_site_fract_z
_atom_site_occupancy
Y1 Y 0.0000 0.0000 0.0000 1
Mg1 Mg 0.0000 0.2395 0.5000 1
Cu1 Cu 0.0000 0.3742 0.0000 1
Cu2 Cu 0.2091 0.2091 0.0000 1
```